No. 1
The following is a SCAN calculation of a PBEsol-optimized structure of Zn3Ag, from Alexandria.

formation energy = 34 meV per atom
VASP energy = -17.944 eV/atom

Cell: 4.3474 4.3474 4.3474 Å, 60.00 60.00 60.00°
Fractional coordinates of all 4 atoms:
Zn: 0.0000 0.0000 0.0000
Zn: 0.2500 0.2500 0.2500
Zn: 0.7500 0.7500 0.7500
Ag: 0.5000 0.5000 0.5000

---

No. 2
The following is a SCAN calculation of a PBEsol-optimized structure of La2NiPt, from Alexandria.

formation energy = -661 meV per atom
VASP energy = -43.805 eV/atom

Cell: 6.3685 6.3685 6.3685 Å, 146.11 141.46 52.25°
Fractional coordinates of all 4 atoms:
La: 0.0000 0.0000 0.0000
La: 0.7168 0.2168 0.5000
Ni: 0.2680 0.7680 0.5000
Pt: 0.4309 0.4309 0.0000

---

No. 3
The following is a SCAN calculation of a PBEsol-optimized structure of SmB2Ru3, from Alexandria.

formation energy = -509 meV per atom
VASP energy = -27.806 eV/atom

Cell: 5.4829 5.4829 2.9963 Å, 90.00 90.00 120.00°
Fractional coordinates of all 6 atoms:
Sm: 0.0000 0.0000 0.0000
B: 0.3333 0.6667 0.0000
B: 0.6667 0.3333 0.0000
Ru: 0.0000 0.5000 0.5000
Ru: 0.5000 0.0000 0.5000
Ru: 0.5000 0.5000 0.5000

---

No. 4
The following is a SCAN calculation of a PBEsol-optimized structure of InCoIr2, from Alexandria.

formation energy = 210 meV per atom
VASP energy = -48.012 eV/atom

Cell: 4.3683 4.3683 4.3683 Å, 60.00 60.00 60.00°
Fractional coordinates of all 4 atoms:
In: 0.0000 0.0000 0.0000
Co: 0.7500 0.7500 0.7500
Ir: 0.2500 0.2500 0.2500
Ir: 0.5000 0.5000 0.5000

---

No. 5
The following is a SCAN calculation of a PBEsol-optimized structure of NiSnOs2Br, from Alexandria.

ΔE_f (raw) = 12.8 eV/f.u.
VASP energy = -40.498 eV/atom

Cell: 4.4832 4.4832 5.2828 Å, 90.00 90.00 90.00°
Fractional coordinates of all 5 atoms:
Ni: 0.0000 0.0000 0.0000
Sn: 0.5000 0.5000 0.0000
Os: 0.0000 0.5000 0.5000
Os: 0.5000 0.0000 0.5000
Br: 0.5000 0.5000 0.5000

---

No. 6
The following is a SCAN calculation of a PBEsol-optimized structure of MgRe2P, from Alexandria.

formation energy = 66 meV per atom
VASP energy = -39.326 eV/atom

Cell: 8.5962 8.5962 8.5962 Å, 19.25 19.25 19.25°
Fractional coordinates of all 4 atoms:
Mg: 0.0000 0.0000 0.0000
Re: 0.2435 0.2435 0.2435
Re: 0.4930 0.4930 0.4930
P: 0.7571 0.7571 0.7571

---

No. 7
The following is a SCAN calculation of a PBEsol-optimized structure of CrSI2O, from Alexandria.

ΔE_f (raw) = 1.3 eV/f.u.
VASP energy = -21.291 eV/atom

Cell: 5.5633 5.5633 3.5757 Å, 90.00 90.00 90.00°
Fractional coordinates of all 5 atoms:
Cr: 0.0000 0.0000 0.0000
S: 0.5000 0.5000 0.5000
I: 0.0000 0.5000 0.5000
I: 0.5000 0.0000 0.5000
O: 0.5000 0.5000 0.0000

---

No. 8
The following is a SCAN calculation of a PBEsol-optimized structure of CaY2Tc, from Alexandria.

formation energy = 432 meV per atom
VASP energy = -24.670 eV/atom

Cell: 5.4999 5.4999 5.4999 Å, 129.85 129.85 73.65°
Fractional coordinates of all 4 atoms:
Ca: 0.0000 0.0000 0.0000
Y: 0.2500 0.7500 0.5000
Y: 0.5000 0.5000 0.0000
Tc: 0.7500 0.2500 0.5000

---

Q: What is the VASP energy in the first record?
A: -17.944 eV/atom

---

What did the eighth record say?
The following is a SCAN calculation of a PBEsol-optimized structure of CaY2Tc, from Alexandria.

formation energy = 432 meV per atom
VASP energy = -24.670 eV/atom

Cell: 5.4999 5.4999 5.4999 Å, 129.85 129.85 73.65°
Fractional coordinates of all 4 atoms:
Ca: 0.0000 0.0000 0.0000
Y: 0.2500 0.7500 0.5000
Y: 0.5000 0.5000 0.0000
Tc: 0.7500 0.2500 0.5000